! La2Pr3Y8 (GGA-PBE, optimized geometry); values from VASP
&SYSTEM
  ibrav = 0, nat = 13, ntyp = 3
/
ATOMIC_SPECIES
La 138.91 La.upf
Pr 140.91 Pr.upf
Y 88.91 Y.upf
CELL_PARAMETERS angstrom
6.362 -3.819 0.000
6.362 3.819 0.000
-2.417 0.000 9.134
ATOMIC_POSITIONS angstrom
La 1.936 0.000 4.394
La 8.372 0.000 4.740
Pr 0.000 0.000 0.000
Pr 5.154 1.776 4.567
Pr 5.154 -1.776 4.567
Y -0.051 0.000 7.306
Y 2.813 1.615 7.428
Y 4.165 0.000 1.344
Y 7.495 1.615 1.705
Y 2.813 -1.615 7.428
Y 6.143 0.000 7.790
Y 7.495 -1.615 1.705
Y 10.359 0.000 1.828
! E_tot (eV/atom): -5.666
! Energy of formation from the pure elements (eV per formula unit): 2.25
! ΔE to the lowest computed polymorph (meV/atom): 0